## TiCdSeN2 (PBEsol)

Data for a relaxed structure of TiCdSeN2.

a = 4.0699 Å, b = 4.0699 Å, c = 5.2951 Å
α = 90.00°, β = 90.00°, γ = 90.00°
Last column: nearest neighbours and their distance in Å.
Fractional coordinates of all 5 atoms:
Ti1 0.0000 0.0000 0.0000  4 Se 2.88
Cd1 0.5000 0.5000 0.5000  4 N 2.03
Se1 0.5000 0.5000 0.0000  2 Cd 2.65, 4 Ti 2.88
N1 0.0000 0.5000 0.5000  2 Cd 2.03
N2 0.5000 0.0000 0.5000  2 Cd 2.03

## Properties
V: 17.5 A^3/atom
Total DFT energy (no corrections): -4.6338 eV per atom
Spin magnetization: 0.88 μB per cell
SG: P4/mmm, No. 123

## YCdSeN2 (PBEsol)

Data for a relaxed structure of YCdSeN2.

a = 4.3743 Å, b = 4.3743 Å, c = 5.6630 Å
α = 90.00°, β = 90.00°, γ = 90.00°
Last column: nearest neighbours and their distance in Å.
Fractional coordinates of all 5 atoms:
Y1 0.0000 0.0000 0.0000  4 N 2.19
Cd1 0.5000 0.5000 0.5000  4 Se 3.09
Se1 0.0000 0.0000 0.5000  2 Y 2.83, 4 Cd 3.09
N1 0.0000 0.5000 0.0000  2 Y 2.19
N2 0.5000 0.0000 0.0000  2 Y 2.19

## Properties
V: 21.7 A^3/atom
Total DFT energy (no corrections): -5.2166 eV per atom
Spin magnetization: 3.28 μB per cell
SG: P4/mmm, No. 123

## ZrCdSe2N (PBEsol)

Data for a relaxed structure of ZrCdSe2N.

a = 5.2834 Å, b = 5.2834 Å, c = 3.9963 Å
α = 90.00°, β = 90.00°, γ = 90.00°
Last column: nearest neighbours and their distance in Å.
Fractional coordinates of all 5 atoms:
Zr1 0.0000 0.0000 0.0000  2 N 2.00
Cd1 0.5000 0.5000 0.5000  8 Se 3.31
Se1 0.0000 0.5000 0.0000  2 Zr 2.64
Se2 0.5000 0.0000 0.0000  2 Zr 2.64
N1 0.0000 0.0000 0.5000  2 Zr 2.00

## Properties
V: 22.3 A^3/atom
Total DFT energy (no corrections): -5.4906 eV per atom
Spin magnetization: 0.73 μB per cell
SG: P4/mmm, No. 123

## Cd2SiN2 (PBEsol)

Data for a relaxed structure of Cd2SiN2.

a = 4.7584 Å, b = 4.7584 Å, c = 7.3623 Å
α = 90.00°, β = 90.00°, γ = 90.00°
Last column: nearest neighbours and their distance in Å.
Fractional coordinates of all 10 atoms:
Cd1 0.0000 0.5000 0.2500  4 N 2.70, 4 Si 3.01
Cd2 0.0000 0.5000 0.7500  4 N 2.70, 4 Si 3.01
Cd3 0.5000 0.0000 0.2500  4 N 2.70, 4 Si 3.01
Cd4 0.5000 0.0000 0.7500  4 N 2.70, 4 Si 3.01
Si1 0.0000 0.0000 0.0000  8 Cd 3.01, 2 N 3.11
Si2 0.5000 0.5000 0.5000  8 Cd 3.01, 2 N 3.11
N1 0.0000 0.0000 0.4221  1 N 1.15
N2 0.0000 0.0000 0.5779  1 N 1.15
N3 0.5000 0.5000 0.0779  1 N 1.15
N4 0.5000 0.5000 0.9221  1 N 1.15

## Properties
V: 16.7 A^3/atom
Total DFT energy (no corrections): -4.4790 eV per atom
Spin magnetization: 0.00 μB per cell
SG: I4/mmm, No. 139

## Cd3SiN (PBEsol)

Data for a relaxed structure of Cd3SiN.

a = 4.5146 Å, b = 4.5146 Å, c = 4.5146 Å
α = 90.00°, β = 90.00°, γ = 90.00°
Last column: nearest neighbours and their distance in Å.
Fractional coordinates of all 5 atoms:
Cd1 0.0000 0.0000 0.5000  2 N 2.26
Cd2 0.0000 0.5000 0.0000  2 N 2.26
Cd3 0.5000 0.0000 0.0000  2 N 2.26
Si1 0.5000 0.5000 0.5000  12 Cd 3.19
N1 0.0000 0.0000 0.0000  6 Cd 2.26

## Properties
V: 18.4 A^3/atom
Total DFT energy (no corrections): -2.9529 eV per atom
Spin magnetization: 0.00 μB per cell
SG: Pm-3m, No. 221

## CdSi3N (PBEsol)

Data for a relaxed structure of CdSi3N.

a = 4.1441 Å, b = 4.1441 Å, c = 4.1441 Å
α = 90.00°, β = 90.00°, γ = 90.00°
Last column: nearest neighbours and their distance in Å.
Fractional coordinates of all 5 atoms:
Cd1 0.0000 0.0000 0.0000  12 Si 2.93
Si1 0.0000 0.5000 0.5000  2 N 2.07
Si2 0.5000 0.0000 0.5000  2 N 2.07
Si3 0.5000 0.5000 0.0000  2 N 2.07
N1 0.5000 0.5000 0.5000  6 Si 2.07

## Properties
V: 14.2 A^3/atom
Total DFT energy (no corrections): -4.8223 eV per atom
Spin magnetization: 0.00 μB per cell
Excess energy over the best structure of this formula in the dataset: 0.0 meV per atom
SG: Pm-3m, No. 221

## CdSi3N (PBEsol)

Data for a relaxed structure of CdSi3N.

a = 4.8992 Å, b = 4.8992 Å, c = 4.8992 Å
α = 90.00°, β = 90.00°, γ = 90.00°
Last column: nearest neighbours and their distance in Å.
Fractional coordinates of all 5 atoms:
Cd1 0.0000 0.0000 0.0000  6 Si 2.45
Si1 0.0000 0.0000 0.5000  2 Cd 2.45
Si2 0.0000 0.5000 0.0000  2 Cd 2.45
Si3 0.5000 0.0000 0.0000  2 Cd 2.45
N1 0.5000 0.5000 0.5000  12 Si 3.46

## Properties
V: 23.5 A^3/atom
Total DFT energy (no corrections): -3.0882 eV per atom
Spin magnetization: 0.64 μB per cell
Excess energy over the best structure of this formula in the dataset: 1734.1 meV per atom
SG: Pm-3m, No. 221

## CdSiTeN2 (PBEsol)

Data for a relaxed structure of CdSiTeN2.

a = 3.7241 Å, b = 3.7241 Å, c = 5.7169 Å
α = 90.00°, β = 90.00°, γ = 90.00°
Last column: nearest neighbours and their distance in Å.
Fractional coordinates of all 5 atoms:
Cd1 0.0000 0.0000 0.0000  4 Te 2.63
Si1 0.5000 0.5000 0.5000  4 N 1.86
Te1 0.5000 0.5000 0.0000  4 Cd 2.63, 2 Si 2.86
N1 0.0000 0.5000 0.5000  2 Si 1.86
N2 0.5000 0.0000 0.5000  2 Si 1.86

## Properties
V: 15.9 A^3/atom
Total DFT energy (no corrections): -4.8418 eV per atom
Spin magnetization: 0.00 μB per cell
SG: P4/mmm, No. 123

## CdSnN2 (PBEsol)

Data for a relaxed structure of CdSnN2.

a = 5.8725 Å, b = 5.8725 Å, c = 5.8725 Å
α = 90.00°, β = 90.00°, γ = 90.00°
Last column: nearest neighbours and their distance in Å.
Fractional coordinates of all 16 atoms:
Cd1 0.0000 0.0000 0.0000  8 N 2.54
Cd2 0.0000 0.5000 0.5000  8 N 2.54
Cd3 0.5000 0.0000 0.5000  8 N 2.54
Cd4 0.5000 0.5000 0.0000  8 N 2.54
Sn1 0.0000 0.0000 0.5000  8 N 2.54
Sn2 0.0000 0.5000 0.0000  8 N 2.54
Sn3 0.5000 0.0000 0.0000  8 N 2.54
Sn4 0.5000 0.5000 0.5000  8 N 2.54
N1 0.2500 0.2500 0.2500  4 Cd 2.54, 4 Sn 2.54
N2 0.2500 0.2500 0.7500  4 Cd 2.54, 4 Sn 2.54
N3 0.2500 0.7500 0.2500  4 Cd 2.54, 4 Sn 2.54
N4 0.2500 0.7500 0.7500  4 Cd 2.54, 4 Sn 2.54
N5 0.7500 0.2500 0.2500  4 Cd 2.54, 4 Sn 2.54
N6 0.7500 0.2500 0.7500  4 Cd 2.54, 4 Sn 2.54
N7 0.7500 0.7500 0.2500  4 Cd 2.54, 4 Sn 2.54
N8 0.7500 0.7500 0.7500  4 Cd 2.54, 4 Sn 2.54

## Properties
V: 12.7 A^3/atom
Total DFT energy (no corrections): -4.4615 eV per atom
Spin magnetization: 1.91 μB per cell
Excess energy over the best structure of this formula in the dataset: 1044.3 meV per atom
SG: Fm-3m, No. 225

## CdSnN2 (PBEsol)

Data for a relaxed structure of CdSnN2.

a = 5.0573 Å, b = 5.0573 Å, c = 9.6990 Å
α = 90.00°, β = 90.00°, γ = 90.00°
Last column: nearest neighbours and their distance in Å.
Fractional coordinates of all 16 atoms:
Cd1 0.0000 0.0000 0.0000  4 N 2.26
Cd2 0.0000 0.5000 0.2500  4 N 2.26
Cd3 0.5000 0.0000 0.7500  4 N 2.26
Cd4 0.5000 0.5000 0.5000  4 N 2.26
Sn1 0.0000 0.0000 0.5000  4 N 2.07
Sn2 0.0000 0.5000 0.7500  4 N 2.07
Sn3 0.5000 0.0000 0.2500  4 N 2.07
Sn4 0.5000 0.5000 0.0000  4 N 2.07
N1 0.2183 0.2500 0.6250  2 Sn 2.07, 2 Cd 2.26
N2 0.2500 0.7183 0.8750  2 Sn 2.07, 2 Cd 2.26
N3 0.2500 0.7817 0.3750  2 Sn 2.07, 2 Cd 2.26
N4 0.2817 0.2500 0.1250  2 Sn 2.07, 2 Cd 2.26
N5 0.7183 0.7500 0.1250  2 Sn 2.07, 2 Cd 2.26
N6 0.7500 0.2183 0.3750  2 Sn 2.07, 2 Cd 2.26
N7 0.7500 0.2817 0.8750  2 Sn 2.07, 2 Cd 2.26
N8 0.7817 0.7500 0.6250  2 Sn 2.07, 2 Cd 2.26

## Properties
V: 15.5 A^3/atom
Total DFT energy (no corrections): -5.4971 eV per atom
Spin magnetization: 0.00 μB per cell
Excess energy over the best structure of this formula in the dataset: 8.7 meV per atom
SG: I-42d, No. 122

## CdSnN2 (PBEsol)

Data for a relaxed structure of CdSnN2.

a = 6.0585 Å, b = 7.1455 Å, c = 5.7334 Å
α = 90.00°, β = 90.00°, γ = 90.00°
Last column: nearest neighbours and their distance in Å.
Fractional coordinates of all 16 atoms:
Cd1 0.0833 0.1241 0.0000  4 N 2.25-2.27
Cd2 0.4167 0.6241 0.5000  4 N 2.25-2.27
Cd3 0.5833 0.3759 0.0000  4 N 2.25-2.27
Cd4 0.9167 0.8759 0.5000  4 N 2.25-2.27
Sn1 0.0774 0.6258 0.0018  4 N 2.06-2.07
Sn2 0.4226 0.1258 0.5018  4 N 2.06-2.07
Sn3 0.5774 0.8742 0.0018  4 N 2.06-2.07
Sn4 0.9226 0.3742 0.5018  4 N 2.06-2.07
N1 0.0663 0.6104 0.3621  2 Sn 2.06-2.07, 2 Cd 2.25-2.27
N2 0.0971 0.1398 0.3949  2 Sn 2.07, 2 Cd 2.26-2.27
N3 0.4029 0.6398 0.8949  2 Sn 2.07, 2 Cd 2.26-2.27
N4 0.4337 0.1104 0.8621  2 Sn 2.06-2.07, 2 Cd 2.25-2.27
N5 0.5663 0.8896 0.3621  2 Sn 2.06-2.07, 2 Cd 2.25-2.27
N6 0.5971 0.3602 0.3949  2 Sn 2.07, 2 Cd 2.26-2.27
N7 0.9029 0.8602 0.8949  2 Sn 2.07, 2 Cd 2.26-2.27
N8 0.9337 0.3896 0.8621  2 Sn 2.06-2.07, 2 Cd 2.25-2.27

## Properties
V: 15.5 A^3/atom
Total DFT energy (no corrections): -5.5057 eV per atom
Spin magnetization: 0.00 μB per cell
Excess energy over the best structure of this formula in the dataset: 0.0 meV per atom
SG: Pna2_1, No. 33

## Sr2CdN2 (PBEsol)

Data for a relaxed structure of Sr2CdN2.

a = 3.8286 Å, b = 3.8286 Å, c = 13.5875 Å
α = 90.00°, β = 90.00°, γ = 90.00°
Last column: nearest neighbours and their distance in Å.
Fractional coordinates of all 10 atoms:
Sr1 0.0000 0.0000 0.1645  5 N 2.51-2.71
Sr2 0.0000 0.0000 0.8355  5 N 2.51-2.71
Sr3 0.5000 0.5000 0.3355  5 N 2.51-2.71
Sr4 0.5000 0.5000 0.6645  5 N 2.51-2.71
Cd1 0.0000 0.0000 0.5000  2 N 2.05
Cd2 0.5000 0.5000 0.0000  2 N 2.05
N1 0.0000 0.0000 0.3492  1 Cd 2.05
N2 0.0000 0.0000 0.6508  1 Cd 2.05
N3 0.5000 0.5000 0.1508  1 Cd 2.05
N4 0.5000 0.5000 0.8492  1 Cd 2.05

## Properties
V: 19.9 A^3/atom
Total DFT energy (no corrections): -4.8760 eV per atom
Spin magnetization: 0.00 μB per cell
SG: I4/mmm, No. 139

## Sr3CdN (PBEsol)

Data for a relaxed structure of Sr3CdN.

a = 5.2290 Å, b = 5.2290 Å, c = 5.2290 Å
α = 90.00°, β = 90.00°, γ = 90.00°
Last column: nearest neighbours and their distance in Å.
Fractional coordinates of all 5 atoms:
Sr1 0.0000 0.0000 0.5000  2 N 2.61
Sr2 0.0000 0.5000 0.0000  2 N 2.61
Sr3 0.5000 0.0000 0.0000  2 N 2.61
Cd1 0.5000 0.5000 0.5000  12 Sr 3.70
N1 0.0000 0.0000 0.0000  6 Sr 2.61

## Properties
V: 28.6 A^3/atom
Total DFT energy (no corrections): -3.5098 eV per atom
Spin magnetization: 0.00 μB per cell
SG: Pm-3m, No. 221

## SrCdTeN2 (PBEsol)

Data for a relaxed structure of SrCdTeN2.

a = 4.5101 Å, b = 4.5101 Å, c = 5.7113 Å
α = 90.00°, β = 90.00°, γ = 90.00°
Last column: nearest neighbours and their distance in Å.
Fractional coordinates of all 5 atoms:
Sr1 0.0000 0.0000 0.0000  4 Te 3.19
Cd1 0.5000 0.5000 0.5000  4 N 2.26
Te1 0.5000 0.5000 0.0000  2 Cd 2.86, 4 Sr 3.19
N1 0.0000 0.5000 0.5000  2 Cd 2.26
N2 0.5000 0.0000 0.5000  2 Cd 2.26

## Properties
V: 23.2 A^3/atom
Total DFT energy (no corrections): -3.8805 eV per atom
Spin magnetization: 3.53 μB per cell
SG: P4/mmm, No. 123